Record 1
BaAlF5, relaxed, DFT PBE-GGA; energy = -0.2163 Ha/atom; DOS at the Fermi energy = 0.0 states/eV per cell; polymorph energy (0 for the lowest one) = 0.004 eV/atom; space group = P2_1/c (14); V = 804 Å³/cell; formation energy without anion corrections = -26.18 eV/f.u.
1.0
5.261 0.000 0.000
0.000 19.871 0.000
-4.870 0.000 7.692
Ba Al F
8 8 40
Cartesian
-0.965 0.829 2.021
-3.400 9.106 5.867
1.442 4.617 0.168
-0.994 5.319 4.014
1.384 14.552 3.678
-1.051 15.255 7.523
3.790 10.765 1.825
1.355 19.042 5.670
-3.616 12.526 7.422
-1.181 17.281 3.576
-0.980 12.074 4.971
1.455 17.733 1.125
-1.064 2.138 6.566
1.371 7.798 2.720
1.571 2.590 4.115
4.006 7.345 0.269
-2.410 12.374 3.894
0.025 17.433 0.048
-0.221 12.985 0.619
-2.656 16.823 4.465
-3.520 14.105 6.540
-1.085 15.702 2.694
-2.603 1.850 5.515
-0.168 8.085 1.669
1.237 10.838 0.417
-1.198 18.969 4.262
-1.161 10.317 4.682
1.274 19.490 0.836
-2.094 11.909 6.463
0.341 17.898 2.617
0.484 3.173 2.802
-1.951 6.763 6.647
0.059 12.243 3.494
-2.376 17.564 7.340
-0.825 13.849 5.275
1.610 15.959 1.429
-1.219 3.913 6.263
1.216 6.023 2.417
2.767 2.307 0.351
0.331 7.629 4.197
2.342 13.109 1.044
-0.093 16.698 4.890
0.049 1.974 5.074
2.484 7.962 1.228
-0.884 0.381 6.856
1.551 9.555 3.010
1.588 0.903 3.429
-0.847 9.033 7.275
0.558 11.786 6.022
2.994 18.021 2.176
1.475 4.170 4.998
3.910 5.766 1.152
3.046 3.049 3.227
0.611 6.887 7.073
0.365 2.438 7.644
2.800 7.498 3.798

=====

Record 2
Ba3AlF9, relaxed, DFT PBE-GGA; energy = -0.2144 Ha/atom; DOS at the Fermi energy = 0.0 states/eV per cell; polymorph energy (0 for the lowest one) = 0.000 eV/atom; space group = Pnma (62); V = 871 Å³/cell; formation energy without anion corrections = -49.48 eV/f.u.
1.0
10.235 0.000 0.000
0.000 5.640 0.000
0.000 0.000 15.082
Ba Al F
12 4 36
Cartesian
0.548 1.410 1.520
1.733 1.410 8.141
2.404 4.230 4.815
2.714 1.410 12.356
3.384 4.230 0.601
4.569 4.230 9.061
5.666 1.410 6.021
6.851 1.410 14.481
7.521 4.230 2.726
7.831 1.410 10.267
8.502 4.230 6.940
9.687 4.230 13.561
0.241 4.230 10.107
4.877 1.410 2.566
5.358 4.230 12.515
9.994 1.410 4.974
0.446 0.102 6.110
0.446 2.718 6.110
0.847 2.940 11.213
0.847 5.520 11.213
1.383 1.410 4.128
1.494 4.230 2.294
1.523 0.019 14.422
1.523 2.801 14.422
1.768 4.230 9.090
3.349 1.410 1.549
3.595 2.839 6.881
3.595 5.621 6.881
3.624 1.410 9.835
3.735 4.230 11.669
4.270 0.120 3.672
4.270 2.700 3.672
4.672 2.922 13.650
4.672 5.538 13.650
5.563 0.102 1.431
5.563 2.718 1.431
5.965 2.940 11.410
5.965 5.520 11.410
6.500 1.410 3.412
6.611 4.230 5.247
6.640 0.019 8.201
6.640 2.801 8.201
6.886 4.230 13.533
8.467 1.410 5.992
8.712 2.839 0.660
8.712 5.621 0.660
8.742 1.410 12.787
8.852 4.230 10.953
9.388 0.120 3.869
9.388 2.700 3.869
9.790 2.922 8.972
9.790 5.538 8.972

=====

Record 3
BaAlH2F8, relaxed, DFT PBE-GGA; energy = -0.1795 Ha/atom; DOS at the Fermi energy = 3.6 states/eV per cell; space group = C2/m (12); V = 155 Å³/cell
1.0
3.977 -2.399 0.000
3.977 2.399 0.000
-0.069 0.000 8.134
Ba Al H F
1 1 2 8
Cartesian
0.000 0.000 0.000
-0.034 0.000 4.067
3.943 0.000 2.711
3.943 0.000 5.423
1.736 0.000 4.065
3.942 1.147 2.673
3.943 1.147 5.460
2.605 0.000 8.119
5.281 0.000 0.014
3.942 -1.147 2.673
3.943 -1.147 5.460
6.150 0.000 4.069

=====

Record 4
Ba2AlHF5, relaxed, DFT PBE-GGA; energy = -0.1889 Ha/atom; DOS at the Fermi energy = 2.4 states/eV per cell; space group = I4mm (107); V = 146 Å³/cell
1.0
-2.905 2.905 4.326
2.905 -2.905 4.326
2.905 2.905 -4.326
Ba Al H F
2 1 1 5
Cartesian
2.905 0.000 0.000
0.000 2.905 0.000
0.000 0.000 2.213
0.000 0.000 3.916
1.601 1.601 -2.194
1.304 -1.304 2.132
0.000 0.000 0.338
-1.304 1.304 2.132
1.304 1.304 2.132

=====

Record 5
BaAlHg2F8, relaxed, DFT PBE-GGA; energy = -0.1605 Ha/atom; DOS at the Fermi energy = 3.0 states/eV per cell; space group = P-1 (2); V = 201 Å³/cell; formation energy without anion corrections = -31.16 eV/f.u.
1.0
4.976 0.000 0.000
0.017 5.608 0.000
0.092 0.137 7.208
Ba Al Hg F
1 1 2 8
Cartesian
0.000 0.000 0.000
0.046 0.069 3.604
2.499 2.811 2.065
2.586 2.934 5.142
0.716 4.574 4.938
0.777 4.597 2.292
1.537 1.121 3.655
2.194 1.502 0.013
2.891 4.244 7.195
3.548 4.625 3.552
4.309 1.149 4.915
4.369 1.171 2.270

=====

Record 6
BaAlHgF6, relaxed, DFT PBE-GGA; energy = -0.1810 Ha/atom; DOS at the Fermi energy = 6.3 states/eV per cell; space group = P-31c (163); V = 318 Å³/cell; formation energy without anion corrections = -27.13 eV/f.u.
1.0
6.038 0.000 0.000
-3.019 5.229 0.000
0.000 0.000 10.075
Ba Al Hg F
2 2 2 12
Cartesian
0.000 0.000 0.000
0.000 0.000 5.037
0.000 3.486 2.519
3.019 1.743 7.556
0.000 3.486 7.556
3.019 1.743 2.519
-0.675 2.144 1.445
-1.500 3.572 3.592
0.675 2.144 3.592
-0.824 4.742 1.445
2.195 0.487 6.483
1.519 1.657 8.629
1.500 3.572 1.445
0.824 4.742 3.592
3.843 0.487 8.629
2.344 3.085 6.483
4.519 1.657 6.483
3.694 3.085 8.629

=====

Record 7
BaAlIn2F8, relaxed, DFT PBE-GGA; energy = -0.1875 Ha/atom; DOS at the Fermi energy = 2.2 states/eV per cell; space group = P-1 (2); V = 196 Å³/cell; formation energy without anion corrections = -35.10 eV/f.u.
1.0
5.085 0.000 0.000
-0.026 5.624 0.000
-0.382 -0.012 6.857
Ba Al In F
1 1 2 8
Cartesian
0.000 0.000 0.000
-0.191 -0.006 3.428
2.171 2.814 4.898
2.505 2.799 1.959
0.414 1.310 4.613
0.415 4.312 4.605
1.296 0.015 2.431
2.509 4.092 0.002
2.167 1.521 6.854
3.380 5.597 4.426
4.261 1.301 2.252
4.262 4.302 2.244

=====

Record 8
K2BaAlF, relaxed, DFT PBE-GGA; energy = -0.1064 Ha/atom; DOS at the Fermi energy = 3.9 states/eV per cell; space group = P4/mmm (123); V = 166 Å³/cell; formation energy without anion corrections = -4.75 eV/f.u.
1.0
5.390 0.000 0.000
0.000 5.390 0.000
0.000 0.000 5.718
K Ba Al F
2 1 1 1
Cartesian
0.000 2.695 0.000
2.695 0.000 0.000
0.000 0.000 2.859
2.695 2.695 2.859
0.000 0.000 0.000

=====

Record 9
K2BaAlF8, relaxed, DFT PBE-GGA; energy = -0.1812 Ha/atom; DOS at the Fermi energy = 20.0 states/eV per cell; space group = P-3m1 (164); V = 200 Å³/cell; formation energy without anion corrections = -36.34 eV/f.u.
1.0
5.727 0.000 0.000
-2.864 4.960 0.000
0.000 0.000 7.035
K Ba Al F
2 1 1 8
Cartesian
0.000 3.307 2.670
2.864 1.653 4.365
0.000 0.000 0.000
0.000 0.000 3.518
0.000 1.456 4.618
-1.602 4.232 4.618
1.261 0.728 2.417
0.000 3.307 0.125
2.864 1.653 6.910
1.602 4.232 4.618
4.466 0.728 2.417
2.864 3.503 2.417

=====

Record 10
Ba2LaAlF, relaxed, DFT PBE-GGA; energy = -0.1227 Ha/atom; DOS at the Fermi energy = 6.1 states/eV per cell; space group = P4/mmm (123); V = 216 Å³/cell; formation energy without anion corrections = -2.31 eV/f.u.
1.0
6.933 0.000 0.000
0.000 6.933 0.000
0.000 0.000 4.492
Ba La Al F
2 1 1 1
Cartesian
0.000 3.467 0.000
3.467 0.000 0.000
0.000 0.000 0.000
3.467 3.467 2.246
0.000 0.000 2.246

=====

Record 11
BaLi2AlF8, relaxed, DFT PBE-GGA; energy = -0.1885 Ha/atom; DOS at the Fermi energy = 14.4 states/eV per cell; space group = P-3 (147); V = 162 Å³/cell; formation energy without anion corrections = -37.08 eV/f.u.
1.0
5.129 0.000 0.000
-2.564 4.442 0.000
0.000 0.000 7.131
Ba Li Al F
1 2 1 8
Cartesian
0.000 0.000 0.000
0.000 2.961 4.909
2.564 1.481 2.222
0.000 0.000 3.566
-0.706 1.267 4.661
-1.114 4.419 4.661
0.745 1.245 2.471
0.000 2.961 6.860
2.564 1.481 0.272
1.820 3.196 4.661
3.678 0.022 2.471
3.270 3.174 2.471

=====

Record 12
Ba2Li3AlF12, relaxed, DFT PBE-GGA; energy = -0.1821 Ha/atom; DOS at the Fermi energy = 12.4 states/eV per cell; space group = R-3m (166); V = 255 Å³/cell; formation energy without anion corrections = -53.40 eV/f.u.
1.0
3.658 2.112 5.502
-3.658 2.112 5.502
0.000 -4.224 5.502
Ba Li Al F
2 3 1 12
Cartesian
0.000 0.000 2.458
0.000 0.000 14.048
-1.829 -1.056 5.502
-1.829 1.056 11.004
0.000 2.112 5.502
0.000 0.000 8.253
0.000 -1.872 4.494
-1.622 0.936 4.494
-1.291 -0.745 7.246
-1.622 -0.936 12.012
0.000 -1.491 9.260
-1.291 0.745 9.260
1.291 -0.745 7.246
0.000 1.491 7.246
1.622 0.936 4.494
1.291 0.745 9.260
1.622 -0.936 12.012
0.000 1.872 12.012

=====

Record 13
BaAlNF2, relaxed, DFT PBE-GGA; energy = -0.2147 Ha/atom; polymorph energy (0 for the lowest one) = 0.000 eV/atom; space group = P4/mmm (123); V = 68 Å³/cell; formation energy without anion corrections = -11.47 eV/f.u.
1.0
4.295 0.000 0.000
0.000 4.295 0.000
0.000 0.000 3.712
Ba Al N F
1 1 1 2
Cartesian
0.000 0.000 0.000
2.148 2.148 1.856
2.148 2.148 0.000
0.000 2.148 1.856
2.148 0.000 1.856

=====

Record 14
BaAlNF2, relaxed, DFT PBE-GGA; energy = -0.1612 Ha/atom; DOS at the Fermi energy = 2.1 states/eV per cell; polymorph energy (0 for the lowest one) = 1.454 eV/atom; space group = P4/mmm (123); V = 138 Å³/cell; formation energy without anion corrections = -4.20 eV/f.u.
1.0
5.002 0.000 0.000
0.000 5.002 0.000
0.000 0.000 5.513
Ba Al N F
1 1 1 2
Cartesian
0.000 0.000 0.000
2.501 2.501 2.757
0.000 0.000 2.757
0.000 2.501 0.000
2.501 0.000 0.000

=====

Record 15
Ba2NaAlF, relaxed, DFT PBE-GGA; energy = -0.1198 Ha/atom; DOS at the Fermi energy = 2.8 states/eV per cell; space group = P4/mmm (123); V = 154 Å³/cell; formation energy without anion corrections = -5.52 eV/f.u.
1.0
5.735 0.000 0.000
0.000 5.735 0.000
0.000 0.000 4.670
Ba Na Al F
2 1 1 1
Cartesian
0.000 2.868 0.000
2.868 0.000 0.000
0.000 0.000 2.335
2.868 2.868 2.335
0.000 0.000 0.000